[1]
# SCAN Nd2IrRh, PBEsol geometry
# energy relative to the elements = -2.92 eV per formula unit
# raw total energy = -48.739 eV per atom
# space group = Fm-3m
data_Nd2IrRh
_chemical_formula_sum 'Nd2 Ir1 Rh1'
_symmetry_space_group_name_H-M 'P 1'
_symmetry_Int_Tables_number 1
_cell_length_a 4.931
_cell_length_b 4.931
_cell_length_c 4.931
_cell_angle_alpha 60.00
_cell_angle_beta 60.00
_cell_angle_gamma 60.00
loop_
_symmetry_equiv_pos_as_xyz
'x,y,z'
loop_
_atom_site_label
_atom_site_type_symbol
_atom_site_fract_x
_atom_site_fract_y
_atom_site_fract_z
Nd1 Nd 0.250 0.250 0.250
Nd2 Nd 0.750 0.750 0.750
Ir1 Ir 0.000 0.000 0.000
Rh1 Rh 0.500 0.500 0.500

---

[2]
# SCAN NdSbIr, PBEsol geometry
# ΔE_f (raw) = -1052 meV/atom
# raw total energy = -51.699 eV per atom
# space group = Pnma
data_NdSbIr
_chemical_formula_sum 'Nd4 Sb4 Ir4'
_symmetry_space_group_name_H-M 'P 1'
_symmetry_Int_Tables_number 1
_cell_length_a 7.303
_cell_length_b 4.549
_cell_length_c 7.903
_cell_angle_alpha 90.00
_cell_angle_beta 90.00
_cell_angle_gamma 90.00
loop_
_symmetry_equiv_pos_as_xyz
'x,y,z'
loop_
_atom_site_label
_atom_site_type_symbol
_atom_site_fract_x
_atom_site_fract_y
_atom_site_fract_z
Nd1 Nd 0.013 0.250 0.192
Nd2 Nd 0.487 0.750 0.692
Nd3 Nd 0.513 0.250 0.308
Nd4 Nd 0.987 0.750 0.808
Sb1 Sb 0.176 0.250 0.586
Sb2 Sb 0.324 0.750 0.086
Sb3 Sb 0.676 0.250 0.914
Sb4 Sb 0.824 0.750 0.414
Ir1 Ir 0.203 0.750 0.410
Ir2 Ir 0.297 0.250 0.910
Ir3 Ir 0.703 0.750 0.090
Ir4 Ir 0.797 0.250 0.590

---

[3]
# SCAN NdSi2Ir, PBEsol geometry
# ΔE_f (raw) = -1059 meV/atom
# raw total energy = -34.738 eV per atom
# space group = Cmcm
data_NdSi2Ir
_chemical_formula_sum 'Nd2 Si4 Ir2'
_symmetry_space_group_name_H-M 'P 1'
_symmetry_Int_Tables_number 1
_cell_length_a 8.597
_cell_length_b 8.597
_cell_length_c 4.192
_cell_angle_alpha 90.00
_cell_angle_beta 90.00
_cell_angle_gamma 151.60
loop_
_symmetry_equiv_pos_as_xyz
'x,y,z'
loop_
_atom_site_label
_atom_site_type_symbol
_atom_site_fract_x
_atom_site_fract_y
_atom_site_fract_z
Nd1 Nd 0.105 0.895 0.750
Nd2 Nd 0.895 0.105 0.250
Si1 Si 0.250 0.750 0.250
Si2 Si 0.462 0.538 0.750
Si3 Si 0.538 0.462 0.250
Si4 Si 0.750 0.250 0.750
Ir1 Ir 0.322 0.678 0.750
Ir2 Ir 0.678 0.322 0.250

---

[4]
# SCAN NdSi2Ir2, PBEsol geometry
# ΔE_f (raw) = -1200 meV/atom
# raw total energy = -42.362 eV per atom
# space group = P4/nmm
data_NdSi2Ir2
_chemical_formula_sum 'Nd2 Si4 Ir4'
_symmetry_space_group_name_H-M 'P 1'
_symmetry_Int_Tables_number 1
_cell_length_a 4.145
_cell_length_b 4.145
_cell_length_c 9.829
_cell_angle_alpha 90.00
_cell_angle_beta 90.00
_cell_angle_gamma 90.00
loop_
_symmetry_equiv_pos_as_xyz
'x,y,z'
loop_
_atom_site_label
_atom_site_type_symbol
_atom_site_fract_x
_atom_site_fract_y
_atom_site_fract_z
Nd1 Nd 0.250 0.250 0.245
Nd2 Nd 0.750 0.750 0.755
Si1 Si 0.250 0.250 0.630
Si2 Si 0.250 0.750 0.000
Si3 Si 0.750 0.250 0.000
Si4 Si 0.750 0.750 0.370
Ir1 Ir 0.250 0.250 0.873
Ir2 Ir 0.250 0.750 0.500
Ir3 Ir 0.750 0.250 0.500
Ir4 Ir 0.750 0.750 0.127

---

- What is the raw total energy in the fourth record?
  -42.362 eV per atom

---

- raw total energy of number 1 (Nd2IrRh)?
  -48.739 eV per atom

---

Copy entry 2 word for word.
# SCAN NdSbIr, PBEsol geometry
# ΔE_f (raw) = -1052 meV/atom
# raw total energy = -51.699 eV per atom
# space group = Pnma
data_NdSbIr
_chemical_formula_sum 'Nd4 Sb4 Ir4'
_symmetry_space_group_name_H-M 'P 1'
_symmetry_Int_Tables_number 1
_cell_length_a 7.303
_cell_length_b 4.549
_cell_length_c 7.903
_cell_angle_alpha 90.00
_cell_angle_beta 90.00
_cell_angle_gamma 90.00
loop_
_symmetry_equiv_pos_as_xyz
'x,y,z'
loop_
_atom_site_label
_atom_site_type_symbol
_atom_site_fract_x
_atom_site_fract_y
_atom_site_fract_z
Nd1 Nd 0.013 0.250 0.192
Nd2 Nd 0.487 0.750 0.692
Nd3 Nd 0.513 0.250 0.308
Nd4 Nd 0.987 0.750 0.808
Sb1 Sb 0.176 0.250 0.586
Sb2 Sb 0.324 0.750 0.086
Sb3 Sb 0.676 0.250 0.914
Sb4 Sb 0.824 0.750 0.414
Ir1 Ir 0.203 0.750 0.410
Ir2 Ir 0.297 0.250 0.910
Ir3 Ir 0.703 0.750 0.090
Ir4 Ir 0.797 0.250 0.590